Density functional theory data (PBEsol) for a relaxed structure of HfOs3I.

CIF file:
```
data_HfOs3I
_chemical_formula_sum 'Hf1 Os3 I1'
_space_group_name_H-M_alt 'P m -3 m'
_space_group_IT_number 221
_space_group_name_Hall '-P 4 2 3'
_cell_length_a 4.8329
_cell_length_b 4.8329
_cell_length_c 4.8329
_cell_angle_alpha 90.00
_cell_angle_beta 90.00
_cell_angle_gamma 90.00
loop_
_atom_site_label
_atom_site_fract_x
_atom_site_fract_y
_atom_site_fract_z
Hf1 0.0000 0.0000 0.0000
Os1 0.0000 0.0000 0.5000
I1 0.5000 0.5000 0.5000
```

Calculated values
Volume ... 22.577 Å³/atom
ΔE_f (raw) ... 2.61 eV per atom
Crystal system ... cubic

Density functional theory data (PBEsol) for a relaxed structure of HfSbOsI2.

CIF file:
```
data_HfSbOsI2
_chemical_formula_sum 'Hf1 Sb1 Os1 I2'
_space_group_name_H-M_alt 'P 4/m m m'
_space_group_IT_number 123
_space_group_name_Hall '-P 4 2'
_cell_length_a 5.3945
_cell_length_b 5.3945
_cell_length_c 5.6235
_cell_angle_alpha 90.00
_cell_angle_beta 90.00
_cell_angle_gamma 90.00
loop_
_atom_site_label
_atom_site_fract_x
_atom_site_fract_y
_atom_site_fract_z
Hf1 0.0000 0.0000 0.0000
Sb1 0.0000 0.0000 0.5000
Os1 0.5000 0.5000 0.5000
I1 0.0000 0.5000 0.0000
```

Calculated values
Volume ... 32.729 Å³/atom
ΔE_f (raw) ... 1.41 eV per atom
Crystal system ... tetragonal

Density functional theory data (PBEsol) for a relaxed structure of Sr2HfPI.

CIF file:
```
data_Sr2HfPI
_chemical_formula_sum 'Sr2 Hf1 P1 I1'
_space_group_name_H-M_alt 'P 4/m m m'
_space_group_IT_number 123
_space_group_name_Hall '-P 4 2'
_cell_length_a 5.7297
_cell_length_b 5.7297
_cell_length_c 5.6296
_cell_angle_alpha 90.00
_cell_angle_beta 90.00
_cell_angle_gamma 90.00
loop_
_atom_site_label
_atom_site_fract_x
_atom_site_fract_y
_atom_site_fract_z
Sr1 0.0000 0.5000 0.0000
Hf1 0.0000 0.0000 0.5000
P1 0.5000 0.5000 0.0000
I1 0.5000 0.5000 0.5000
```

Calculated values
Volume ... 36.963 Å³/atom
ΔE_f (raw) ... 0.46 eV per atom
Crystal system ... tetragonal

Density functional theory data (PBEsol) for a relaxed structure of HfTcPt2I.

CIF file:
```
data_HfTcPt2I
_chemical_formula_sum 'Hf1 Tc1 Pt2 I1'
_space_group_name_H-M_alt 'P 4/m m m'
_space_group_IT_number 123
_space_group_name_Hall '-P 4 2'
_cell_length_a 4.9350
_cell_length_b 4.9350
_cell_length_c 4.8168
_cell_angle_alpha 90.00
_cell_angle_beta 90.00
_cell_angle_gamma 90.00
loop_
_atom_site_label
_atom_site_fract_x
_atom_site_fract_y
_atom_site_fract_z
Hf1 0.0000 0.0000 0.0000
Tc1 0.0000 0.0000 0.5000
Pt1 0.0000 0.5000 0.0000
I1 0.5000 0.5000 0.5000
```

Calculated values
Volume ... 23.462 Å³/atom
ΔE_f (raw) ... 1.27 eV per atom
Crystal system ... tetragonal

Density functional theory data (PBEsol) for a relaxed structure of HfReSbI2.

CIF file:
```
data_HfReSbI2
_chemical_formula_sum 'Hf1 Re1 Sb1 I2'
_space_group_name_H-M_alt 'P 4/m m m'
_space_group_IT_number 123
_space_group_name_Hall '-P 4 2'
_cell_length_a 5.4503
_cell_length_b 5.4503
_cell_length_c 5.6394
_cell_angle_alpha 90.00
_cell_angle_beta 90.00
_cell_angle_gamma 90.00
loop_
_atom_site_label
_atom_site_fract_x
_atom_site_fract_y
_atom_site_fract_z
Hf1 0.0000 0.0000 0.0000
Re1 0.5000 0.5000 0.5000
Sb1 0.0000 0.0000 0.5000
I1 0.0000 0.5000 0.0000
```

Calculated values
Volume ... 33.504 Å³/atom
ΔE_f (raw) ... 1.31 eV per atom
Crystal system ... tetragonal

Density functional theory data (PBEsol) for a relaxed structure of Hf2ReSeI.

CIF file:
```
data_Hf2ReSeI
_chemical_formula_sum 'Hf2 Re1 Se1 I1'
_space_group_name_H-M_alt 'P 4/m m m'
_space_group_IT_number 123
_space_group_name_Hall '-P 4 2'
_cell_length_a 5.0815
_cell_length_b 5.0815
_cell_length_c 4.9492
_cell_angle_alpha 90.00
_cell_angle_beta 90.00
_cell_angle_gamma 90.00
loop_
_atom_site_label
_atom_site_fract_x
_atom_site_fract_y
_atom_site_fract_z
Hf1 0.0000 0.5000 0.0000
Re1 0.0000 0.0000 0.0000
Se1 0.5000 0.5000 0.5000
I1 0.0000 0.0000 0.5000
```

Calculated values
Volume ... 25.559 Å³/atom
ΔE_f (raw) ... 0.78 eV per atom
Crystal system ... tetragonal

Density functional theory data (PBEsol) for a relaxed structure of HfRh3I.

CIF file:
```
data_HfRh3I
_chemical_formula_sum 'Hf1 Rh3 I1'
_space_group_name_H-M_alt 'P m -3 m'
_space_group_IT_number 221
_space_group_name_Hall '-P 4 2 3'
_cell_length_a 4.7043
_cell_length_b 4.7043
_cell_length_c 4.7043
_cell_angle_alpha 90.00
_cell_angle_beta 90.00
_cell_angle_gamma 90.00
loop_
_atom_site_label
_atom_site_fract_x
_atom_site_fract_y
_atom_site_fract_z
Hf1 0.0000 0.0000 0.0000
Rh1 0.0000 0.5000 0.5000
I1 0.5000 0.5000 0.5000
```

Calculated values
Volume ... 20.822 Å³/atom
ΔE_f (raw) ... 1.00 eV per atom
Crystal system ... cubic
E above lowest polymorph ... 0.041 eV per atom

Density functional theory data (PBEsol) for a relaxed structure of HfRh3I.

CIF file:
```
data_HfRh3I
_chemical_formula_sum 'Hf1 Rh3 I1'
_space_group_name_H-M_alt 'P m -3 m'
_space_group_IT_number 221
_space_group_name_Hall '-P 4 2 3'
_cell_length_a 4.7566
_cell_length_b 4.7566
_cell_length_c 4.7566
_cell_angle_alpha 90.00
_cell_angle_beta 90.00
_cell_angle_gamma 90.00
loop_
_atom_site_label
_atom_site_fract_x
_atom_site_fract_y
_atom_site_fract_z
Hf1 0.0000 0.0000 0.0000
Rh1 0.0000 0.0000 0.5000
I1 0.5000 0.5000 0.5000
```

Calculated values
Volume ... 21.524 Å³/atom
ΔE_f (raw) ... 0.95 eV per atom
Crystal system ... cubic
E above lowest polymorph ... 0.000 eV per atom

Among the records above, which one has the lowest ΔE_f (raw)?
Sr2HfPI

Which value of ΔE_f (raw) does entry 2 give?
1.41 eV per atom

Which value of volume does entry 4 give?
23.462 Å³/atom

Which value of ΔE_f (raw) does entry 6 give?
0.78 eV per atom